# CsAgH2I4 PBE relaxed
# E_tot	-2.526	eV per atom
# spin magnetization	0.00	μB per formula unit
# symmetry	I222, No. 23
# crystal system	orthorhombic
data_CsAgH2I4
_chemical_formula_sum 'Cs1 Ag1 H2 I4'
_cell_length_a 7.6098
_cell_length_b 7.6098
_cell_length_c 7.6098
_cell_angle_alpha 128.27
_cell_angle_beta 104.54
_cell_angle_gamma 97.45
_space_group_name_H-M_alt 'P 1'
_space_group_IT_number 1
loop_
_space_group_symop_operation_xyz
'x,y,z'
loop_
_atom_site_label
_atom_site_type_symbol
_atom_site_fract_x
_atom_site_fract_y
_atom_site_fract_z
_atom_site_occupancy
Cs1 Cs 0.0000 0.0000 0.0000 1
Ag1 Ag 0.5000 0.5000 0.0000 1
H1 H 0.3328 0.8328 0.5000 1
H2 H 0.6672 0.1672 0.5000 1
I1 I 0.1860 0.0408 0.5770 1
I2 I 0.4638 0.6090 0.4230 1
I3 I 0.5362 0.9592 0.1452 1
I4 I 0.8140 0.3910 0.8548 1

***

# NbTl2CN PBE relaxed
# spin magnetization	2.38	μB per formula unit
# symmetry	P4/mmm, No. 123
# crystal system	tetragonal
# uncorrected formation energy	1.76	eV per atom
data_NbTl2CN
_chemical_formula_sum 'Nb1 Tl2 C1 N1'
_cell_length_a 5.6501
_cell_length_b 5.6501
_cell_length_c 4.0779
_cell_angle_alpha 90.00
_cell_angle_beta 90.00
_cell_angle_gamma 90.00
_space_group_name_H-M_alt 'P 1'
_space_group_IT_number 1
loop_
_space_group_symop_operation_xyz
'x,y,z'
loop_
_atom_site_label
_atom_site_type_symbol
_atom_site_fract_x
_atom_site_fract_y
_atom_site_fract_z
_atom_site_occupancy
Nb1 Nb 0.0000 0.0000 0.0000 1
Tl1 Tl 0.0000 0.5000 0.0000 1
Tl2 Tl 0.5000 0.0000 0.0000 1
C1 C 0.0000 0.0000 0.5000 1
N1 N 0.5000 0.5000 0.5000 1